Entry 1:
{"formula": "Fe6OF11", "functional": "PBE+U", "state": "optimized geometry", "lattice": [[4.804, 0.000, 0.000], [0.042, 5.810, 0.000], [0.028, 0.248, 8.112]], "species": ["Fe", "Fe", "Fe", "Fe", "Fe", "Fe", "O", "F", "F", "F", "F", "F", "F", "F", "F", "F", "F", "F"], "fractional_positions": [[0.000, 0.000, 0.000], [0.004, 0.314, 0.685], [0.023, 0.645, 0.334], [0.513, 0.150, 0.342], [0.523, 0.809, 0.672], [0.527, 0.468, 0.001], [0.823, 0.258, 0.914], [0.210, 0.344, 0.444], [0.214, 0.698, 0.093], [0.223, 0.999, 0.786], [0.304, 0.175, 0.111], [0.320, 0.844, 0.436], [0.323, 0.510, 0.768], [0.706, 0.455, 0.245], [0.722, 0.107, 0.570], [0.733, 0.775, 0.906], [0.820, 0.953, 0.226], [0.824, 0.614, 0.569]], "polymorph_energy_ev_per_fu": 0.00, "volume_a3_per_atom": 12.58}


Entry 2:
{"formula": "Fe4OF7", "functional": "PBE+U", "state": "optimized geometry", "lattice": [[7.202, -3.419, 0.000], [7.202, 3.419, 0.000], [-3.048, 0.000, 5.993]], "species": ["Fe", "Fe", "Fe", "Fe", "Fe", "Fe", "Fe", "Fe", "O", "O", "F", "F", "F", "F", "F", "F", "F", "F", "F", "F", "F", "F", "F", "F"], "fractional_positions": [[0.000, 0.000, 0.000], [0.121, 0.121, 0.653], [0.238, 0.238, 0.234], [0.374, 0.374, 0.871], [0.500, 0.500, 0.500], [0.626, 0.626, 0.129], [0.762, 0.762, 0.766], [0.879, 0.879, 0.347], [0.115, 0.115, 0.944], [0.885, 0.885, 0.056], [0.045, 0.453, 0.743], [0.118, 0.118, 0.329], [0.203, 0.797, 0.500], [0.299, 0.701, 0.000], [0.367, 0.367, 0.170], [0.369, 0.369, 0.561], [0.453, 0.045, 0.743], [0.547, 0.955, 0.257], [0.631, 0.631, 0.439], [0.633, 0.633, 0.830], [0.701, 0.299, 0.000], [0.797, 0.203, 0.500], [0.882, 0.882, 0.671], [0.955, 0.547, 0.257]], "polymorph_energy_ev_per_fu": 1.18, "volume_a3_per_atom": 12.30}


Entry 3:
{"formula": "Fe2OF3", "functional": "PBE+U", "state": "optimized geometry", "lattice": [[3.135, 0.000, 0.000], [0.000, 6.928, 0.000], [0.000, 0.000, 6.724]], "species": ["Fe", "Fe", "Fe", "Fe", "O", "O", "F", "F", "F", "F", "F", "F"], "fractional_positions": [[0.000, 0.000, 0.000], [0.000, 0.500, 0.500], [0.500, 0.000, 0.463], [0.500, 0.500, 0.963], [0.500, 0.000, 0.164], [0.500, 0.500, 0.664], [0.000, 0.210, 0.472], [0.000, 0.290, 0.972], [0.000, 0.710, 0.972], [0.000, 0.790, 0.472], [0.500, 0.000, 0.777], [0.500, 0.500, 0.277]], "polymorph_energy_ev_per_fu": 0.00, "volume_a3_per_atom": 12.17}


Entry 4:
{"formula": "Fe6O5F7", "functional": "PBE+U", "state": "optimized geometry", "lattice": [[5.660, 0.000, 0.000], [1.419, 5.480, 0.000], [2.052, 1.572, 6.744]], "species": ["Fe", "Fe", "Fe", "Fe", "Fe", "Fe", "O", "O", "O", "O", "O", "F", "F", "F", "F", "F", "F", "F"], "fractional_positions": [[0.000, 0.000, 0.000], [0.004, 0.008, 0.493], [0.337, 0.333, 0.655], [0.385, 0.328, 0.164], [0.656, 0.654, 0.819], [0.682, 0.701, 0.311], [0.236, 0.229, 0.461], [0.434, 0.430, 0.858], [0.589, 0.578, 0.113], [0.645, 0.035, 0.165], [0.781, 0.778, 0.530], [0.050, 0.621, 0.169], [0.117, 0.103, 0.199], [0.317, 0.695, 0.490], [0.375, 0.975, 0.820], [0.699, 0.316, 0.490], [0.911, 0.900, 0.785], [0.979, 0.374, 0.816]], "polymorph_energy_ev_per_fu": 1.11, "volume_a3_per_atom": 11.62}


Entry 5:
{"formula": "Fe4O3F5", "functional": "PBE+U", "state": "optimized geometry", "lattice": [[-3.096, 3.504, 3.263], [3.096, -3.504, 3.263], [3.096, 3.504, -3.263]], "species": ["Fe", "Fe", "Fe", "Fe", "O", "O", "O", "F", "F", "F", "F", "F"], "fractional_positions": [[0.000, 0.000, 0.000], [0.463, 0.203, 0.740], [0.463, 0.723, 0.260], [0.964, 0.464, 0.500], [0.267, 0.767, 0.500], [0.300, 0.300, 0.000], [0.667, 0.167, 0.500], [0.175, 0.236, 0.461], [0.175, 0.714, 0.939], [0.686, 0.686, 0.000], [0.774, 0.236, 0.061], [0.774, 0.714, 0.539]], "polymorph_energy_ev_per_fu": 0.08, "volume_a3_per_atom": 11.80}


Entry 6:
{"formula": "FeOF", "functional": "PBE+U", "state": "optimized geometry", "lattice": [[9.398, 0.000, 0.000], [0.000, 3.072, 0.000], [-0.010, 0.000, 9.434]], "species": ["Fe", "Fe", "Fe", "Fe", "Fe", "Fe", "Fe", "Fe", "O", "O", "O", "O", "O", "O", "O", "O", "F", "F", "F", "F", "F", "F", "F", "F"], "fractional_positions": [[0.000, 0.000, 0.000], [0.008, 0.000, 0.449], [0.247, 0.500, 0.219], [0.262, 0.500, 0.723], [0.531, 0.000, 0.461], [0.542, 0.000, 0.978], [0.744, 0.500, 0.717], [0.761, 0.500, 0.227], [0.108, 0.500, 0.381], [0.164, 0.000, 0.121], [0.616, 0.500, 0.366], [0.618, 0.500, 0.880], [0.663, 0.000, 0.625], [0.669, 0.000, 0.136], [0.852, 0.000, 0.318], [0.905, 0.500, 0.076], [0.106, 0.500, 0.877], [0.153, 0.000, 0.630], [0.361, 0.000, 0.314], [0.363, 0.000, 0.828], [0.406, 0.500, 0.565], [0.420, 0.500, 0.069], [0.868, 0.000, 0.818], [0.914, 0.500, 0.575]], "volume_a3_per_atom": 11.35, "total_energy_ev_per_atom": -5.878}


Number 1: mass density 4.1 Mg/m³. Number 2: mass density 4.2 Mg/m³. Number 3: mass density 4.2 Mg/m³. Number 4: mass density 4.4 Mg/m³. Number 5: mass density 4.3 Mg/m³. Number 6: mass density 4.4 Mg/m³.